# Ni2GeIr

A relaxed structure of Ni2GeIr (PBE, Alexandria via LeMat-Bulk).

Values from the calculation:
total moment	0.3	μB/f.u.
final energy	-25.783	eV/cell
SG	P4/mmm, No. 123
formation energy from the elements	-0.19	eV per atom

Geometry as CIF:
```
data_Ni2GeIr
_space_group_name_H-M_alt 'P 1'
_space_group_IT_number 1
_cell_length_a 3.668
_cell_length_b 3.668
_cell_length_c 3.760
_cell_angle_alpha 90.00
_cell_angle_beta 90.00
_cell_angle_gamma 90.00
loop_
_space_group_symop_operation_xyz
'x,y,z'
loop_
_atom_site_label
_atom_site_fract_x
_atom_site_fract_y
_atom_site_fract_z
Ni1 0.000 0.500 0.000
Ni2 0.500 0.000 0.000
Ge1 0.000 0.000 0.500
Ir1 0.500 0.500 0.500
```

***

# NiGe2Ir

A relaxed structure of NiGe2Ir (PBE, Alexandria via LeMat-Bulk).

Values from the calculation:
total moment	0.0	μB/f.u.
final energy	-24.157	eV/cell
SG	R3m, No. 160
formation energy from the elements	-0.07	eV per atom

Geometry as CIF:
```
data_NiGe2Ir
_space_group_name_H-M_alt 'P 1'
_space_group_IT_number 1
_cell_length_a 5.467
_cell_length_b 5.467
_cell_length_c 5.467
_cell_angle_alpha 40.36
_cell_angle_beta 40.36
_cell_angle_gamma 40.36
loop_
_space_group_symop_operation_xyz
'x,y,z'
loop_
_atom_site_label
_atom_site_fract_x
_atom_site_fract_y
_atom_site_fract_z
Ni1 0.000 0.000 0.000
Ge1 0.398 0.398 0.398
Ge2 0.580 0.580 0.580
Ir1 0.821 0.821 0.821
```

***

Which value of formation energy from the elements does entry 2 give? -0.07 eV per atom

***

Number 2 is which compound? NiGe2Ir

***

What is the formation energy from the elements in the second record? -0.07 eV per atom

***

Look up the formation energy from the elements of the first one. -0.19 eV per atom